BaLaSb2Cl (PBEsol, optimized geometry); SG = No. 123; magnetic moment = 0.367 μB per formula unit; total energy = -4.0792 eV per atom
1.0
5.644 0.000 0.000
0.000 5.644 0.000
0.000 0.000 5.336
Ba La Sb Cl
1 1 2 1
Direct
0.000 0.000 0.000
0.500 0.500 0.000
0.000 0.500 0.500
0.500 0.000 0.500
0.000 0.000 0.500